1.
Material: CaBPt3
Method: DFT, GGA-PBE
State: optimized geometry

Cell: 4.180 6.615 5.800 Å, 90.00 90.00 90.00°
Space group Amm2 (No. 38)
Unique sites:
1 Ca 0.000 0.000 0.000 [2 per cell]
2 B 0.500 0.000 0.602 [2 per cell]
3 Pt 0.000 0.000 0.505 [2 per cell]
4 Pt 0.500 0.222 0.277 [4 per cell]

Calculated values
Energy relative to the elements ... -0.656 eV/atom
Magnetization ... 0.00 μB per formula unit

=====

2.
Material: CaBPt3
Method: DFT, GGA-PBE
State: optimized geometry

Cell: 5.334 14.212 5.208 Å, 90.00 90.00 90.00°
Space group Cmcm (No. 63)
Unique sites:
1 Ca 0.000 0.098 0.250 [4 per cell]
2 B 0.000 0.382 0.250 [4 per cell]
3 Pt 0.000 0.500 0.000 [4 per cell]
4 Pt 0.243 0.221 0.750 [8 per cell]

Calculated values
Energy relative to the elements ... -0.381 eV/atom
Magnetization ... 0.00 μB per formula unit

=====

3.
Material: CaBPt3
Method: DFT, GGA-PBE
State: optimized geometry

Cell: 5.414 7.168 8.698 Å, 90.00 90.00 90.00°
Space group Imma (No. 74)
Unique sites:
1 Ca 0.000 0.000 0.000 [4 per cell]
2 B 0.000 0.250 0.458 [4 per cell]
3 Pt 0.000 0.066 0.653 [8 per cell]
4 Pt 0.250 0.250 0.250 [4 per cell]

Calculated values
Energy relative to the elements ... -0.535 eV/atom
Magnetization ... 0.00 μB per formula unit

=====

4.
Material: CaB5Pt7
Method: DFT, GGA-PBE
State: optimized geometry

Cell: 4.550 8.500 9.051 Å, 90.00 90.00 90.00°
Space group Imm2 (No. 44)
Unique sites:
1 Ca 0.000 0.000 0.000 [2 per cell]
2 B 0.000 0.500 0.205 [2 per cell]
3 B 0.190 0.253 0.676 [8 per cell]
4 Pt 0.000 0.000 0.357 [2 per cell]
5 Pt 0.000 0.000 0.664 [2 per cell]
6 Pt 0.000 0.308 0.356 [4 per cell]
7 Pt 0.000 0.333 0.012 [4 per cell]
8 Pt 0.000 0.500 0.692 [2 per cell]

Calculated values
Energy relative to the elements ... -0.070 eV/atom
Magnetization ... 0.00 μB per formula unit